(1)
Crystalline TlHgOs2 at its relaxed geometry, computed with PBE.

Properties
For the uncorrected energy, the calculation gives -5.00 eV per atom. The excess energy over the best structure of this formula in the dataset comes out at 0.760 eV/atom. The magnetization is 1.795 μB per cell. Its formation energy from the elements is 5.1 eV/f.u.

Cell lengths 5.0968, 5.0968, 5.0968 Å; angles 131.96, 131.96, 70.29 degrees
With the nearest neighbours (Å) after each atom.
Fractional coordinates of all 4 atoms:
1 Hg 0.7500 0.2500 0.5000  4 Tl 2.93, 8 Os 2.94
2 Os 0.0000 0.0000 0.0000  4 Os 2.93, 4 Tl 2.94, 4 Hg 2.94
3 Os 0.5000 0.5000 0.0000  4 Os 2.93, 4 Hg 2.94, 4 Tl 2.94
4 Tl 0.2500 0.7500 0.5000  4 Hg 2.93, 8 Os 2.94



(2)
Crystalline TlHg2Os at its relaxed geometry, computed with PBE.

Properties
For the uncorrected energy, the calculation gives -2.81 eV per atom. The excess energy over the best structure of this formula in the dataset comes out at 0.140 eV/atom. The magnetization is 1.134 μB per cell. Its formation energy from the elements is 3.0 eV/f.u.

Cell lengths 3.0790, 3.0790, 9.3095 Å; angles 90.00, 90.00, 90.00 degrees
With the nearest neighbours (Å) after each atom.
Fractional coordinates of all 4 atoms:
1 Hg 0.0000 0.0000 0.0452  4 Os 2.89, 4 Hg 3.08
2 Hg 0.0000 0.0000 0.4548  4 Os 2.89, 4 Hg 3.08
3 Os 0.5000 0.5000 0.2500  8 Hg 2.89, 4 Os 3.08
4 Tl 0.5000 0.5000 0.7500  4 Tl 3.08



(3)
Crystalline TlHgOs2 at its relaxed geometry, computed with PBE.

Properties
For the uncorrected energy, the calculation gives -5.55 eV per atom. The excess energy over the best structure of this formula in the dataset comes out at 0.218 eV/atom. The magnetization is 0.000 μB per cell. Its formation energy from the elements is 2.9 eV/f.u.

Cell lengths 4.1158, 4.1158, 8.3519 Å; angles 77.35, 77.35, 40.29 degrees
With the nearest neighbours (Å) after each atom.
Fractional coordinates of all 4 atoms:
1 Hg 0.2916 0.2916 0.2285  2 Hg 2.83, 2 Os 2.88
2 Os 0.9755 0.9755 0.9381  3 Os 2.34-2.53
3 Os 0.7415 0.7415 0.8040  3 Os 2.34-2.53
4 Tl 0.4914 0.4914 0.5293  2 Tl 2.83, 2 Os 2.99



no.,DOS(E_F) (states/eV per cell)
1,5.50
2,3.84
3,2.55